1.
Entry from Alexandria: a relaxed structure of CdInGa2Ir (PBE).

The structure in POSCAR format:
```
CdInGa2Ir
1.0
4.848 0.000 0.000
0.000 4.848 0.000
0.000 0.000 5.261
Cd In Ga Ir
1 1 2 1
direct
0.000 0.000 0.000
0.500 0.500 0.000
0.000 0.500 0.500
0.500 0.000 0.500
0.500 0.500 0.500
```

energy of formation: -0.13 eV/atom
ΔE to the lowest computed polymorph: 0 meV/atom
raw total energy: -3.844 eV per atom
space group: P4/mmm, No. 123

***

2.
Entry from Alexandria: a relaxed structure of CdInGa2Ir (PBE).

The structure in POSCAR format:
```
CdInGa2Ir
1.0
4.806 0.000 0.000
0.000 4.806 0.000
0.000 0.000 5.341
Cd In Ga Ir
1 1 2 1
direct
0.000 0.000 0.000
0.500 0.500 0.000
0.000 0.500 0.500
0.500 0.000 0.500
0.000 0.000 0.500
```

energy of formation: -0.08 eV/atom
ΔE to the lowest computed polymorph: 50 meV/atom
raw total energy: -3.794 eV per atom
space group: P4/mmm, No. 123

***

3.
Entry from Alexandria: a relaxed structure of CdIn2GaIr (PBE).

The structure in POSCAR format:
```
CdIn2GaIr
1.0
5.233 0.000 0.000
0.000 5.233 0.000
0.000 0.000 4.837
Cd In Ga Ir
1 2 1 1
direct
0.000 0.000 0.000
0.000 0.500 0.500
0.500 0.000 0.500
0.500 0.500 0.000
0.500 0.500 0.500
```

energy of formation: -0.09 eV/atom
raw total energy: -3.748 eV per atom
space group: P4/mmm, No. 123

***

4.
Entry from Alexandria: a relaxed structure of KCdIn4Ga2 (PBE).

The structure in POSCAR format:
```
KCdIn4Ga2
1.0
2.535 1.464 10.288
-2.535 1.464 10.288
0.000 -2.927 10.288
K Cd In Ga
1 1 4 2
direct
0.000 0.000 0.000
0.500 0.500 0.500
0.130 0.130 0.130
0.404 0.404 0.404
0.596 0.596 0.596
0.870 0.870 0.870
0.233 0.233 0.233
0.767 0.767 0.767
```

energy of formation: 0.00 eV/atom
raw total energy: -2.377 eV per atom
space group: R-3m, No. 166

***

5.
Entry from Alexandria: a relaxed structure of KCd2InGa (PBE).

The structure in POSCAR format:
```
KCd2InGa
1.0
5.381 0.000 0.000
0.000 5.381 0.000
0.000 0.000 5.678
K Cd In Ga
1 2 1 1
direct
0.000 0.000 0.000
0.000 0.500 0.500
0.500 0.000 0.500
0.500 0.500 0.000
0.500 0.500 0.500
```

energy of formation: 0.07 eV/atom
raw total energy: -1.666 eV per atom
space group: P4/mmm, No. 123

***

6.
Entry from Alexandria: a relaxed structure of KCd2In4Ga (PBE).

The structure in POSCAR format:
```
KCd2In4Ga
1.0
2.583 1.491 10.028
-2.583 1.491 10.028
0.000 -2.982 10.028
K Cd In Ga
1 2 4 1
direct
0.000 0.000 0.000
0.243 0.243 0.243
0.757 0.757 0.757
0.133 0.133 0.133
0.406 0.406 0.406
0.594 0.594 0.594
0.867 0.867 0.867
0.500 0.500 0.500
```

energy of formation: -0.03 eV/atom
raw total energy: -2.141 eV per atom
space group: R-3m, No. 166

***

Among the records above, which one has the highest raw total energy? KCd2InGa

***

Number 1 is which compound? CdInGa2Ir

***

What is the formula in the third record? CdIn2GaIr

***

raw total energy of number 5 (KCd2InGa)? -1.666 eV per atom